No. 1
## BaZn2GaTc (GGA-PBE)

Data for BaZn2GaTc after structural relaxation.

Unit cell a=5.0204 b=5.0204 c=5.4082 alpha=90.00 beta=90.00 gamma=90.00
Last column: nearest neighbours and their distance in Å.
Atoms (fractional coordinates):
Ba 0.0000 0.0000 0.0000  2 Tc 2.70
Zn 0.0000 0.5000 0.5000  2 Tc 2.51
Zn 0.5000 0.0000 0.5000  2 Tc 2.51
Ga 0.5000 0.5000 0.0000  4 Ba 3.55, 8 Zn 3.69
Tc 0.0000 0.0000 0.5000  4 Zn 2.51, 2 Ba 2.70

Values from the calculation:
Energy relative to the lowest polymorph listed for this composition: 0.689 eV/atom

---

No. 2
## BaZn2GaTc (GGA-PBE)

Data for BaZn2GaTc after structural relaxation.

Unit cell a=4.9927 b=4.9927 c=4.8660 alpha=90.00 beta=90.00 gamma=90.00
Last column: nearest neighbours and their distance in Å.
Atoms (fractional coordinates):
Ba 0.0000 0.0000 0.0000  8 Zn 3.49, 4 Ga 3.53
Zn 0.0000 0.5000 0.5000  2 Tc 2.50
Zn 0.5000 0.0000 0.5000  2 Tc 2.50
Ga 0.5000 0.5000 0.0000  2 Tc 2.43
Tc 0.5000 0.5000 0.5000  2 Ga 2.43, 4 Zn 2.50

Values from the calculation:
Energy relative to the lowest polymorph listed for this composition: 0.000 eV/atom

---

No. 3
## BaGaTe3 (GGA-PBE)

Data for BaGaTe3 after structural relaxation.

Unit cell a=6.7880 b=7.2341 c=8.2422 alpha=93.02 beta=97.57 gamma=108.42
Last column: nearest neighbours and their distance in Å.
Atoms (fractional coordinates):
Ba 0.0000 0.0000 0.0000  6 Te 3.51-3.75
Ba 0.2275 0.5916 0.4786  8 Te 3.53-3.74, 2 Ga 3.84-3.96
Ga 0.4926 0.1555 0.6288  4 Te 2.57-2.80
Ga 0.6437 0.3754 0.2910  4 Te 2.60-2.70
Te 0.0988 0.0520 0.4311  1 Ga 2.80
Te 0.3854 0.4741 0.0777  1 Ga 2.60
Te 0.4503 0.9231 0.8561  1 Ga 2.57
Te 0.6042 0.0103 0.3631  2 Ga 2.68
Te 0.7186 0.5307 0.6077  2 Ga 2.69-2.70
Te 0.9182 0.4831 0.0837  1 Ga 2.66

Values from the calculation:
Energy relative to the lowest polymorph listed for this composition: 0.000 eV/atom
ΔE_f (raw): -0.790 eV per atom

---

No. 4
## BaGaTe2 (GGA-PBE)

Data for BaGaTe2 after structural relaxation.

Unit cell a=8.1547 b=8.1547 c=8.1547 alpha=32.93 beta=32.93 gamma=32.93
Last column: nearest neighbours and their distance in Å.
Atoms (fractional coordinates):
Ba 0.0000 0.0000 0.0000  6 Te 3.49
Ga 0.5000 0.5000 0.5000  6 Te 3.11
Te 0.2360 0.2360 0.2360  3 Ga 3.11
Te 0.7640 0.7640 0.7640  3 Ga 3.11

Values from the calculation:
ΔE_f (raw): -0.778 eV per atom

---

no.,M_tot (μB/atom)
1,0.000
2,0.000
3,0.000
4,0.000